#i
InHg2Sb2 PBE optimized geometry; density of states at the Fermi level = 1.6 states/eV per cell; size of the total moment = 0.0 μB per formula unit
1.0
-1.269 -0.914 4.246
-3.568 -2.304 -1.562
1.563 -7.694 1.223
In Sb Hg
1 2 2
direct
0.000 0.000 0.000 In
0.750 0.250 0.500 Sb
0.250 0.750 0.500 Sb
0.403 0.403 0.195 Hg
0.597 0.597 0.805 Hg



#ii
InHg2Sb2 PBE optimized geometry; density of states at the Fermi level = 5.6 states/eV per cell; size of the total moment = 0.0 μB per formula unit
1.0
9.074 0.000 0.000
0.000 9.074 0.000
0.000 0.000 3.385
In Hg Sb
2 4 4
direct
0.500 0.500 0.000 In
0.000 0.000 0.000 In
0.851 0.649 0.000 Hg
0.649 0.149 0.000 Hg
0.149 0.351 0.000 Hg
0.351 0.851 0.000 Hg
0.150 0.650 0.500 Sb
0.850 0.350 0.500 Sb
0.350 0.150 0.500 Sb
0.650 0.850 0.500 Sb



#i is preferred energetically. Next in line: 20 meV/atom higher.



#i
InHgSb2Te PBE optimized geometry; density of states at the Fermi level = 4.7 states/eV per cell; size of the total moment = 0.6 μB per formula unit
1.0
-3.066 -4.278 2.247
4.193 -3.678 -1.280
2.525 1.010 5.368
Sb Hg In Te
2 1 1 1
direct
0.500 0.000 0.000 Sb
0.000 0.500 0.000 Sb
0.000 0.000 0.000 Hg
0.500 0.500 0.500 In
0.000 0.000 0.500 Te



#ii
InHgSb2Te PBE optimized geometry; density of states at the Fermi level = 4.8 states/eV per cell; size of the total moment = 0.0 μB per formula unit
1.0
-5.647 -0.610 -0.488
0.187 -4.511 3.481
-0.763 3.453 4.515
Te Hg In Sb
1 1 1 2
direct
0.000 0.000 0.500 Te
0.500 0.500 0.500 Hg
0.000 0.000 0.000 In
0.000 0.500 0.000 Sb
0.500 0.000 0.000 Sb



#i is preferred energetically. Next in line: 20 meV/atom higher.



#i
Sc2InHg2 PBE optimized geometry; density of states at the Fermi level = 6.7 states/eV per cell; size of the total moment = 0.0 μB per formula unit
1.0
-3.282 -4.434 -5.869
-4.044 -4.281 5.496
-2.792 2.356 -0.219
In Sc Hg
2 4 4
direct
0.000 0.000 0.000 In
0.500 0.500 0.000 In
0.845 0.655 0.000 Sc
0.655 0.155 0.000 Sc
0.155 0.345 0.000 Sc
0.345 0.845 0.000 Sc
0.144 0.644 0.500 Hg
0.644 0.856 0.500 Hg
0.356 0.144 0.500 Hg
0.856 0.356 0.500 Hg



#ii
Sc2InHg2 PBE optimized geometry; density of states at the Fermi level = 5.2 states/eV per cell; size of the total moment = 0.7 μB per formula unit
1.0
4.101 0.000 0.000
0.000 4.101 0.000
2.051 2.051 7.516
Hg Sc In
2 2 1
direct
0.750 0.250 0.500 Hg
0.250 0.750 0.500 Hg
0.598 0.598 0.804 Sc
0.402 0.402 0.196 Sc
0.000 0.000 0.000 In



#i is preferred energetically. Next in line: 209 meV/atom higher.



#i
Sc2InHg4 PBE optimized geometry; density of states at the Fermi level = 7.3 states/eV per cell; size of the total moment = 0.0 μB per formula unit
1.0
-3.978 -0.241 -3.695
2.765 -3.800 -2.729
-3.913 -7.226 0.687
Hg Sc In
4 2 1
direct
0.205 0.205 0.590 Hg
0.500 0.000 0.000 Hg
0.000 0.500 0.000 Hg
0.795 0.795 0.410 Hg
0.600 0.600 0.800 Sc
0.400 0.400 0.200 Sc
0.000 0.000 0.000 In



#ii
Sc2InHg4 PBE optimized geometry; density of states at the Fermi level = 3.1 states/eV per cell; size of the total moment = 0.0 μB per formula unit
1.0
4.699 -0.171 1.698
1.968 4.271 1.698
0.409 0.251 8.133
Hg In Sc
4 1 2
direct
0.573 0.573 0.251 Hg
0.427 0.427 0.749 Hg
0.853 0.853 0.432 Hg
0.147 0.147 0.568 Hg
0.000 0.000 0.000 In
0.729 0.729 0.842 Sc
0.271 0.271 0.158 Sc



#ii is preferred energetically. Next in line: 398 meV/atom higher.



#i
InHg3Se4 PBE optimized geometry; density of states at the Fermi level = 3.6 states/eV per cell; size of the total moment = 0.0 μB per formula unit
1.0
6.325 0.000 0.000
0.000 6.325 0.000
0.000 0.000 6.325
Hg Se In
3 4 1
direct
0.500 0.000 0.500 Hg
0.000 0.500 0.500 Hg
0.500 0.500 0.000 Hg
0.247 0.247 0.247 Se
0.753 0.247 0.753 Se
0.247 0.753 0.753 Se
0.753 0.753 0.247 Se
0.000 0.000 0.000 In



#ii
InHg3Se4 PBE optimized geometry; density of states at the Fermi level = 3.8 states/eV per cell; size of the total moment = 0.0 μB per formula unit
1.0
-4.516 -4.597 -3.102
4.121 0.419 -6.621
5.167 -6.950 2.776
Hg Se In
6 8 2
direct
0.014 0.163 0.500 Hg
0.008 0.669 0.247 Hg
0.514 0.837 0.000 Hg
0.008 0.669 0.753 Hg
0.508 0.331 0.747 Hg
0.508 0.331 0.253 Hg
0.617 0.669 0.255 Se
0.117 0.331 0.755 Se
0.629 0.174 0.000 Se
0.617 0.669 0.745 Se
0.119 0.844 0.000 Se
0.117 0.331 0.245 Se
0.129 0.826 0.500 Se
0.619 0.156 0.500 Se
0.005 0.171 0.000 In
0.505 0.829 0.500 In



#i is preferred energetically. Next in line: 11 meV/atom higher.



#i
InHg2Se2 PBE optimized geometry; density of states at the Fermi level = 5.9 states/eV per cell; size of the total moment = 0.0 μB per formula unit
1.0
8.229 0.000 0.000
0.000 8.229 0.000
0.000 0.000 4.244
Se Hg In
4 4 2
direct
0.767 0.733 0.000 Se
0.733 0.233 0.000 Se
0.267 0.767 0.000 Se
0.233 0.267 0.000 Se
0.885 0.385 0.500 Hg
0.385 0.115 0.500 Hg
0.615 0.885 0.500 Hg
0.115 0.615 0.500 Hg
0.500 0.500 0.000 In
0.000 0.000 0.000 In



#ii
InHg2Se2 PBE optimized geometry; density of states at the Fermi level = 5.2 states/eV per cell; size of the total moment = 0.0 μB per formula unit
1.0
8.259 0.000 0.000
0.000 8.259 0.000
0.000 0.000 3.911
Hg In Se
4 2 4
direct
0.883 0.617 0.000 Hg
0.383 0.883 0.000 Hg
0.617 0.117 0.000 Hg
0.117 0.383 0.000 Hg
0.000 0.000 0.000 In
0.500 0.500 0.000 In
0.283 0.217 0.500 Se
0.717 0.783 0.500 Se
0.783 0.283 0.500 Se
0.217 0.717 0.500 Se



#i is preferred energetically. Next in line: 86 meV/atom higher.



#i
InHg2Se2 PBE optimized geometry; density of states at the Fermi level = 3.6 states/eV per cell; size of the total moment = 0.0 μB per formula unit
1.0
-2.738 3.080 -3.574
-3.722 1.130 3.825
-0.767 5.806 1.428
Hg In Se
2 1 2
direct
0.653 0.653 0.694 Hg
0.347 0.347 0.306 Hg
0.000 0.000 0.000 In
0.750 0.250 0.500 Se
0.250 0.750 0.500 Se



#ii
InHg2Se2 PBE optimized geometry; density of states at the Fermi level = 2.1 states/eV per cell; size of the total moment = 0.0 μB per formula unit
1.0
-2.663 3.294 -0.238
-1.943 -1.316 3.534
2.367 5.059 5.732
In Se Hg
1 2 2
direct
0.000 0.000 0.000 In
0.414 0.414 0.172 Se
0.586 0.586 0.828 Se
0.250 0.750 0.500 Hg
0.750 0.250 0.500 Hg



#ii is preferred energetically. Next in line: 27 meV/atom higher.



#i
In2HgSe2 PBE optimized geometry; density of states at the Fermi level = 2.3 states/eV per cell; size of the total moment = 0.0 μB per formula unit
1.0
-3.050 -1.864 1.605
4.285 -2.765 4.930
-0.944 9.868 4.885
Hg Se In
2 4 4
direct
0.250 0.750 0.500 Hg
0.750 0.250 0.500 Hg
0.121 0.005 0.242 Se
0.879 0.995 0.758 Se
0.379 0.496 0.758 Se
0.621 0.504 0.242 Se
0.443 0.189 0.886 In
0.943 0.689 0.886 In
0.057 0.311 0.114 In
0.557 0.811 0.114 In



#ii
In2HgSe2 PBE optimized geometry; density of states at the Fermi level = 0.9 states/eV per cell; size of the total moment = 0.0 μB per formula unit
1.0
-0.688 4.434 2.615
-2.983 1.807 -3.849
-5.985 1.131 1.665
In Se Hg
2 2 1
direct
0.360 0.360 0.280 In
0.640 0.640 0.720 In
0.250 0.750 0.500 Se
0.750 0.250 0.500 Se
0.000 0.000 0.000 Hg



#iii
In2HgSe2 PBE optimized geometry; density of states at the Fermi level = 5.1 states/eV per cell; size of the total moment = 0.0 μB per formula unit
1.0
-6.283 -4.062 -3.528
-2.367 -2.785 7.421
-2.208 3.037 0.435
In Se Hg
4 4 2
direct
0.350 0.150 0.500 In
0.150 0.650 0.500 In
0.650 0.850 0.500 In
0.850 0.350 0.500 In
0.151 0.349 0.000 Se
0.349 0.849 0.000 Se
0.849 0.651 0.000 Se
0.651 0.151 0.000 Se
0.000 0.000 0.000 Hg
0.500 0.500 0.000 Hg



#ii is preferred energetically. Next in line: 21 meV/atom higher.



#i
In2HgSe2 PBE optimized geometry; density of states at the Fermi level = 1.3 states/eV per cell; size of the total moment = 0.0 μB per formula unit
1.0
-3.154 1.998 -1.815
-5.169 -4.432 4.103
3.739 7.203 6.178
Hg Se In
2 4 4
direct
0.272 0.729 0.543 Hg
0.728 0.271 0.457 Hg
0.325 0.242 0.650 Se
0.675 0.758 0.350 Se
0.034 0.281 0.069 Se
0.966 0.719 0.931 Se
0.384 0.592 0.768 In
0.616 0.408 0.232 In
0.115 0.966 0.230 In
0.885 0.034 0.770 In



#ii
In2HgSe2 PBE optimized geometry; density of states at the Fermi level = 3.6 states/eV per cell; size of the total moment = 0.0 μB per formula unit
1.0
-2.028 -5.382 5.788
7.556 -3.073 -0.210
1.083 2.479 2.685
Se Hg In
4 2 4
direct
0.351 0.149 0.500 Se
0.851 0.351 0.500 Se
0.649 0.851 0.500 Se
0.149 0.649 0.500 Se
0.000 0.000 0.000 Hg
0.500 0.500 0.000 Hg
0.651 0.151 0.000 In
0.151 0.349 0.000 In
0.349 0.849 0.000 In
0.849 0.651 0.000 In



#i is preferred energetically. Next in line: 84 meV/atom higher.



#i
In2HgSe3 PBE optimized geometry; size of the total moment = 0.0 μB per formula unit
1.0
4.140 0.000 0.000
0.000 9.266 0.475
-2.070 -1.511 10.553
In Se Hg
4 6 2
direct
0.045 0.165 0.091 In
0.297 0.774 0.594 In
0.955 0.835 0.909 In
0.703 0.226 0.406 In
0.588 0.330 0.175 Se
0.923 0.102 0.845 Se
0.729 0.669 0.458 Se
0.271 0.331 0.542 Se
0.077 0.898 0.155 Se
0.412 0.670 0.825 Se
0.680 0.932 0.360 Hg
0.320 0.068 0.640 Hg



#ii
In2HgSe3 PBE optimized geometry; density of states at the Fermi level = 0.8 states/eV per cell; size of the total moment = 0.0 μB per formula unit
1.0
-3.441 -4.487 5.541
7.870 -0.078 -0.828
0.454 4.453 3.899
Se In Hg
6 4 2
direct
0.657 0.829 0.743 Se
0.172 0.343 0.743 Se
0.828 0.171 0.257 Se
0.172 0.829 0.743 Se
0.343 0.171 0.257 Se
0.828 0.657 0.257 Se
0.500 0.500 0.000 In
0.500 0.000 0.000 In
0.000 0.500 0.000 In
0.000 0.000 0.000 In
0.667 0.334 0.630 Hg
0.333 0.666 0.370 Hg



#i is preferred energetically. Next in line: 83 meV/atom higher.



#i
In4HgSe3 PBE optimized geometry; density of states at the Fermi level = 4.4 states/eV per cell; size of the total moment = 0.0 μB per formula unit
1.0
0.462 5.478 -2.373
-3.011 -1.833 -4.840
-3.831 -0.272 6.202
In Se Hg
4 3 1
direct
0.256 0.256 0.513 In
0.000 0.500 0.000 In
0.500 0.000 0.000 In
0.744 0.744 0.487 In
0.250 0.750 0.500 Se
0.500 0.500 0.000 Se
0.750 0.250 0.500 Se
0.000 0.000 0.000 Hg



#ii
In4HgSe3 PBE optimized geometry; density of states at the Fermi level = 1.4 states/eV per cell; size of the total moment = 0.0 μB per formula unit
1.0
-0.759 -6.049 -3.853
4.892 -3.958 5.250
-7.422 -2.347 5.146
Hg Se In
2 6 8
direct
0.544 0.853 0.500 Hg
0.044 0.147 0.000 Hg
0.498 0.797 0.000 Se
0.998 0.203 0.500 Se
0.000 0.655 0.754 Se
0.500 0.345 0.746 Se
0.000 0.655 0.246 Se
0.500 0.345 0.254 Se
0.109 0.335 0.758 In
0.643 0.153 0.000 In
0.143 0.847 0.500 In
0.609 0.665 0.258 In
0.113 0.817 0.000 In
0.609 0.665 0.742 In
0.613 0.183 0.500 In
0.109 0.335 0.242 In



#ii is preferred energetically. Next in line: 28 meV/atom higher.